The following is a PBE calculation of a geometry-optimized ZnCrReW structure, from the Alexandria database.

Values from the calculation:
- Density of states at the Fermi level: 2.00 states/eV per cell
- DFT formation energy: 70.9 kJ/mol of formula units

a b c (Å): 4.3594 4.3594 4.3594
angles (deg): 60.00 60.00 60.00
Closest atoms and distances in Å follow each position.
Fractional coordinates of all 4 atoms:
Re 0.0000 0.0000 0.0000  4 Zn 2.67, 4 W 2.67
Zn 0.7500 0.7500 0.7500  4 Re 2.67, 4 Cr 2.67
W 0.2500 0.2500 0.2500  4 Re 2.67, 4 Cr 2.67
Cr 0.5000 0.5000 0.5000  4 W 2.67, 4 Zn 2.67